# 1
# CeU4Pa3P8

CeU4Pa3P8 after structural relaxation (PBE, the Alexandria database).

```
CeU4Pa3P8
1.0
7.8806 0.0000 0.0000
0.0000 7.9722 0.0594
-3.9403 -3.9366 5.5750
Pa P U Ce
3 8 4 1
Cartesian
-1.9702 2.0178 2.8172
1.9702 2.0178 2.8172
3.9403 3.9861 0.0297
0.0000 0.0105 2.7923
-1.9499 -1.9768 5.5808
3.9403 0.0117 2.7645
1.9499 -1.9768 5.5808
1.9904 6.0124 0.0537
3.9403 4.0251 2.8421
5.8902 6.0124 0.0537
0.0000 4.0239 2.8700
1.9702 -1.9683 2.7875
0.0000 0.0000 0.0000
-1.9702 -1.9683 2.7875
3.9403 0.0000 0.0000
0.0000 3.9861 0.0297
```

DFT total energy: -8.843 eV/atom
symmetry: R-3m (166)
calculated formation energy: -1.164 eV per atom
crystal system: trigonal
magnetization: 7.952 Bohr magnetons per cell

# 2
# La8Pr2Hg

La8Pr2Hg after structural relaxation (PBE, the Alexandria database).

```
La8Pr2Hg
1.0
6.1338 0.8684 0.6066
2.5401 9.7986 2.6504
2.5401 5.8606 8.2880
La Pr Hg
8 2 1
Cartesian
7.4688 9.8459 8.9157
3.7453 4.7682 5.3688
7.4688 11.7595 6.1762
4.0190 8.5399 5.9653
2.4013 1.7419 1.2167
7.1951 7.9878 5.5797
3.7453 6.6818 2.6293
8.8128 14.7858 10.3283
6.9991 5.1686 3.6104
4.2150 11.3591 7.9346
0.0000 0.0000 0.0000
```

DFT total energy: -4.475 eV/atom
symmetry: C2/m (12)
calculated formation energy: 0.005 eV per atom
crystal system: monoclinic
magnetization: 0.000 Bohr magnetons per cell

# 3
# ZrCd2Re

ZrCd2Re after structural relaxation (PBE, the Alexandria database).

```
ZrCd2Re
1.0
10.4115 0.0112 0.0066
9.9941 2.9183 0.0066
9.9941 1.4348 2.5412
Zr Cd Re
1 2 1
Cartesian
22.7998 3.2732 1.9157
30.2436 4.3418 2.5412
15.3560 2.2045 1.2903
7.5999 1.0911 0.6386
```

DFT total energy: -5.334 eV/atom
symmetry: R-3m (166)
calculated formation energy: 0.372 eV per atom
crystal system: trigonal
magnetization: 0.000 Bohr magnetons per cell

# 4
# NbRhI

NbRhI after structural relaxation (PBE, the Alexandria database).

```
NbRhI
1.0
3.6839 0.0000 -1.0641
0.0000 4.6712 0.0000
-1.9354 -2.3356 10.4081
Nb Rh I
2 2 2
Cartesian
-0.0314 0.0000 4.6305
1.7799 2.3356 4.7136
2.8204 2.3356 2.5605
-1.0719 0.0000 6.7835
0.3449 2.3356 7.7004
1.4036 0.0000 1.6436
```

DFT total energy: -6.401 eV/atom
symmetry: C2/m (12)
crystal system: monoclinic
magnetization: 0.000 Bohr magnetons per cell

# 5
# PrPaSb2

PrPaSb2 after structural relaxation (PBE, the Alexandria database).

```
PrPaSb2
1.0
4.4455 0.0000 0.0000
2.2227 3.8499 0.0000
2.2227 1.2833 7.3369
Pr Sb Pa
1 2 1
Cartesian
4.4455 2.5666 3.6685
6.6682 3.8499 5.5897
2.2227 1.2833 1.7472
0.0000 0.0000 0.0000
```

DFT total energy: -6.437 eV/atom
symmetry: R-3m (166)
crystal system: trigonal
magnetization: 0.806 Bohr magnetons per cell

# 6
# LaRuCl

LaRuCl after structural relaxation (PBE, the Alexandria database).

```
LaRuCl
1.0
4.5462 0.0000 0.0000
2.2731 3.9371 0.0000
2.2731 1.3124 3.7119
Ru Cl La
1 1 1
Cartesian
6.8192 3.9371 2.7839
0.0000 0.0000 0.0000
4.5462 2.6247 1.8560
```

DFT total energy: -5.629 eV/atom
symmetry: F-43m (216)
crystal system: cubic
magnetization: 0.000 Bohr magnetons per cell